DFT (GGA-PBE) results for Al2AgBr after structural relaxation.

Calculated values
The space group is Fm-3m, No. 225. Its total energy is -10.8 eV per cell.

a = 5.015 Å, b = 5.015 Å, c = 5.015 Å
α = 60.00°, β = 60.00°, γ = 60.00°
Atoms (fractional coordinates):
1 Br 0.000 0.000 0.000
2 Ag 0.500 0.500 0.500
3 Al 0.250 0.250 0.250
4 Al 0.750 0.750 0.750

DFT (GGA-PBE) results for Ho2PbSe4 after structural relaxation.

Calculated values
The space group is Pnma, No. 62. Its total energy is -148.9 eV per cell.

a = 4.116 Å, b = 12.872 Å, c = 14.846 Å
α = 90.00°, β = 90.00°, γ = 90.00°
Atoms (fractional coordinates):
1 Ho 0.750 0.059 0.885
2 Ho 0.250 0.941 0.115
3 Ho 0.750 0.559 0.615
4 Ho 0.250 0.441 0.385
5 Ho 0.250 0.411 0.909
6 Ho 0.750 0.589 0.091
7 Ho 0.250 0.911 0.591
8 Ho 0.750 0.089 0.409
9 Pb 0.250 0.740 0.326
10 Pb 0.750 0.260 0.674
11 Pb 0.250 0.240 0.174
12 Pb 0.750 0.760 0.826
13 Se 0.750 0.091 0.074
14 Se 0.250 0.909 0.926
15 Se 0.750 0.591 0.426
16 Se 0.250 0.409 0.574
17 Se 0.750 0.957 0.716
18 Se 0.250 0.043 0.284
19 Se 0.750 0.457 0.784
20 Se 0.250 0.543 0.216
21 Se 0.750 0.375 0.038
22 Se 0.250 0.625 0.962
23 Se 0.750 0.875 0.462
24 Se 0.250 0.125 0.538
25 Se 0.250 0.202 0.832
26 Se 0.750 0.798 0.168
27 Se 0.250 0.702 0.668
28 Se 0.750 0.298 0.332

DFT (GGA-PBE) results for BaTbEuSnO6 after structural relaxation.

Calculated values
The space group is F-43m, No. 216. Its total energy is -75.5 eV per cell.

a = 6.050 Å, b = 6.050 Å, c = 6.050 Å
α = 60.00°, β = 60.00°, γ = 60.00°
Each line ends with the local moment (μB).
Atoms (fractional coordinates):
1 Ba 0.750 0.750 0.750  0.01
2 Tb 0.500 0.500 0.500  0.02
3 Eu 0.250 0.250 0.250  6.61
4 Sn 0.000 0.000 0.000  0.01
5 O 0.241 0.759 0.241  -0.11
6 O 0.759 0.241 0.759  -0.11
7 O 0.241 0.759 0.759  -0.11
8 O 0.759 0.241 0.241  -0.11
9 O 0.241 0.241 0.759  -0.11
10 O 0.759 0.759 0.241  -0.11

DFT (GGA-PBE) results for Er2CdCu after structural relaxation.

Calculated values
The space group is R-3m, No. 166. The value obtained for the formation energy is -0.081 eV per atom.

a = 3.672 Å, b = 3.672 Å, c = 8.927 Å
α = 78.13°, β = 78.13°, γ = 60.00°
Atoms (fractional coordinates):
1 Cd 0.500 0.500 0.500
2 Cu 0.000 0.000 0.000
3 Er 0.261 0.261 0.216
4 Er 0.739 0.739 0.784

DFT (GGA-PBE) results for LiB5Ir6 after structural relaxation.

Calculated values
The space group is C2/m, No. 12. The value obtained for the formation energy is -0.261 eV per atom.

a = 5.944 Å, b = 6.436 Å, c = 5.450 Å
α = 74.10°, β = 123.05°, γ = 120.14°
Atoms (fractional coordinates):
1 B 0.600 0.500 0.199
2 B 0.314 0.000 0.628
3 B 0.000 0.500 0.000
4 B 0.686 0.000 0.372
5 B 0.400 0.500 0.801
6 Ir 0.878 0.748 0.533
7 Ir 0.656 0.252 0.533
8 Ir 0.611 0.261 0.000
9 Ir 0.389 0.739 0.000
10 Ir 0.344 0.748 0.467
11 Ir 0.122 0.252 0.467
12 Li 0.000 0.000 0.000

DFT (GGA-PBE) results for Na2AgSnB after structural relaxation.

Calculated values
The space group is P4/mmm, No. 123. The value obtained for the formation energy is 1.026 eV per atom.

a = 5.398 Å, b = 5.101 Å, c = 5.398 Å
α = 90.00°, β = 90.00°, γ = 90.00°
Atoms (fractional coordinates):
1 Na 0.000 0.000 0.500
2 Na 0.500 0.000 0.000
3 B 0.500 0.500 0.500
4 Sn 0.000 0.500 0.000
5 Ag 0.000 0.000 0.000